YNiOs2: optimized geometry, PBE-GGA.

Cell: 4.516 4.516 4.516 Å, 60.00 60.00 60.00°
Last column: magnetic moment on the atom in μB.
Fractional positions:
Y: 0.500 0.500 0.500  0.04
Ni: 0.000 0.000 0.000  0.61
Os: 0.250 0.250 0.250  0.35
Os: 0.750 0.750 0.750  0.35

Results
Calculated total energy in eV per atom: -8.055

=====

YNiOs2: optimized geometry, PBE-GGA.

Cell: 2.864 3.847 5.993 Å, 90.00 90.00 90.00°
Fractional positions:
Ni: 0.500 0.500 0.778
Os: 0.000 0.000 0.015
Os: 0.500 0.500 0.193
Y: 0.000 0.000 0.514

Results
Calculated total energy in eV per atom: -8.556

=====

| no. | distance to the lowest polymorph of the same formula (eV per atom) | formation energy from the elements (eV/atom) | theoretical density (g/cm³) |
| --- | --- | --- | --- |
| 1 | 0.812 | 0.62 | 13.466 |
| 2 | 0.311 | 0.12 | 13.279 |